Arrangement P

Density functional theory data (PBE) for a relaxed LaY2Tm crystal.

```
LaY2Tm
1.0
6.528 -1.832 0.000
6.528 1.832 0.000
-6.057 0.000 11.114
La Y Tm
2 4 2
Direct
0.123 0.123 0.474
0.877 0.877 0.526
0.368 0.368 0.263
0.383 0.383 0.782
0.617 0.617 0.218
0.632 0.632 0.737
0.127 0.127 0.981
0.873 0.873 0.019
```

Results
Space group: No. 12
Crystal system: monoclinic

=====

Arrangement Q

Density functional theory data (PBE) for a relaxed LaY2Tm crystal.

```
LaY2Tm
1.0
12.252 -1.761 0.000
12.252 1.761 0.000
-1.102 0.000 6.089
La Y Tm
2 4 2
Direct
0.000 0.000 0.000
0.000 0.000 0.500
0.142 0.592 0.912
0.408 0.858 0.588
0.592 0.142 0.412
0.858 0.408 0.088
0.000 0.500 0.500
0.500 0.000 0.000
```

Results
Space group: No. 15
Crystal system: monoclinic

=====

arrangement P is the most stable structure; the next one sits 0.149 eV/atom above it.

=====

Arrangement P

Density functional theory data (PBE) for a relaxed LaY2Tm crystal.

```
LaY2Tm
1.0
0.000 4.056 4.056
4.056 0.000 4.056
4.056 4.056 0.000
La Y Tm
1 2 1
Direct
0.000 0.000 0.000
0.250 0.250 0.250
0.750 0.750 0.750
0.500 0.500 0.500
```

Results
Space group: No. 225
Crystal system: cubic

=====

Arrangement Q

Density functional theory data (PBE) for a relaxed LaY2Tm crystal.

```
LaY2Tm
1.0
1.803 1.041 11.693
-1.803 1.041 11.693
0.000 -2.081 11.693
La Y Tm
1 2 1
Direct
0.000 0.000 0.000
0.248 0.248 0.248
0.420 0.420 0.420
0.834 0.834 0.834
```

Results
Space group: No. 160
Crystal system: trigonal

=====

Arrangement R

Density functional theory data (PBE) for a relaxed LaY2Tm crystal.

```
LaY2Tm
1.0
5.070 0.000 0.000
0.000 5.070 0.000
0.000 0.000 5.136
La Y Tm
1 2 1
Direct
0.000 0.000 0.000
0.000 0.500 0.500
0.500 0.000 0.500
0.500 0.500 0.000
```

Results
Space group: No. 123
Crystal system: tetragonal

=====

arrangement Q is the most stable structure; the next one sits 0.008 eV/atom above it.